Record 1
Compound: Rb2TeBr
Source: Alexandria
Functional: SCAN
Structure: single point on PBEsol structure

abc: 9.3979 9.3979 6.9560
angles: 90.00 90.00 90.00
Closest atoms and distances in Å follow each position.
Space group I-42d (No. 122)
Symmetry-distinct sites (fractional):
Rb 0.2248 0.7500 0.1250  2 Br 3.28, 2 Rb 3.51, 2 Te 3.60
Te 0.0000 0.0000 0.5000  2 Br 3.48, 4 Rb 3.60
Br 0.0000 0.0000 0.0000  4 Rb 3.28, 2 Te 3.48

Properties
- Raw formation energy: -1.109 eV/atom
- E: -410.51 eV for the cell shown
- Magnetic moment: 0.00 Bohr magnetons per cell

***

Record 2
Compound: Rb2TiBr
Source: Alexandria
Functional: SCAN
Structure: single point on PBEsol structure

abc: 9.6886 9.6886 7.7141
angles: 90.00 90.00 90.00
Closest atoms and distances in Å follow each position.
Space group I-42d (No. 122)
Symmetry-distinct sites (fractional):
Rb 0.1995 0.7500 0.1250  2 Br 3.25
Ti 0.0000 0.0000 0.5000  2 Br 3.86, 8 Rb 3.91-4.24
Br 0.0000 0.0000 0.0000  4 Rb 3.25

Properties
- Raw formation energy: 0.002 eV/atom
- E: -307.84 eV for the cell shown
- Magnetic moment: 12.42 Bohr magnetons per cell

***

Record 3
Compound: Rb2YTlBr6
Source: Alexandria
Functional: SCAN
Structure: single point on PBEsol structure

abc: 11.6918 11.6918 11.6918
angles: 90.00 90.00 90.00
Closest atoms and distances in Å follow each position.
Space group Fm-3m (No. 225)
Symmetry-distinct sites (fractional):
Rb 0.2500 0.2500 0.2500  12 Br 4.14
Y 0.0000 0.0000 0.0000  6 Br 2.75
Tl 0.0000 0.0000 0.5000  6 Br 3.09
Br 0.0000 0.0000 0.2353  1 Y 2.75

Properties
- Raw formation energy: -1.782 eV/atom
- E: -1105.02 eV for the cell shown
- Magnetic moment: 0.00 Bohr magnetons per cell

***

Record 4
Compound: Rb2UBr6
Source: Alexandria
Functional: SCAN
Structure: single point on PBEsol structure

abc: 7.9321 7.9321 11.2469
angles: 90.00 90.00 90.00
Closest atoms and distances in Å follow each position.
Space group P4/mnc (No. 128)
Symmetry-distinct sites (fractional):
Rb 0.0000 0.5000 0.2500  8 Br 3.73-3.97
U 0.0000 0.0000 0.0000  6 Br 2.77-2.79
Br 0.0000 0.0000 0.2466  1 U 2.77
Br 0.2143 0.2785 0.0000  1 U 2.79

Properties
- Raw formation energy: -1.687 eV/atom
- E: -553.89 eV for the cell shown
- Magnetic moment: 4.00 Bohr magnetons per cell

***

Record 5
Compound: Rb2UBr5
Source: Alexandria
Functional: SCAN
Structure: single point on PBEsol structure

abc: 13.6787 9.1550 8.5722
angles: 90.00 90.00 90.00
Closest atoms and distances in Å follow each position.
Space group Pnma (No. 62)
Symmetry-distinct sites (fractional):
Rb 0.1717 0.0060 0.0590  8 Br 3.38-3.66
U 0.0031 0.2500 0.5703  7 Br 2.90-2.98
Br 0.0086 0.2500 0.9138  1 U 2.95
Br 0.0752 0.5444 0.6644  2 U 2.96-2.98
Br 0.1792 0.2500 0.3804  1 U 2.91
Br 0.2020 0.7500 0.3423  1 U 2.90

Properties
- Raw formation energy: -1.785 eV/atom
- E: -1026.33 eV for the cell shown
- Magnetic moment: 12.00 Bohr magnetons per cell

***

Record 6
Compound: RbVBr3
Source: Alexandria
Functional: SCAN
Structure: single point on PBEsol structure

abc: 7.2979 7.2979 6.3549
angles: 90.00 90.00 120.00
Closest atoms and distances in Å follow each position.
Space group P6_3/mmc (No. 194)
Symmetry-distinct sites (fractional):
Rb 0.3333 0.6667 0.2500  12 Br 3.65-3.84
V 0.0000 0.0000 0.0000  6 Br 2.59
Br 0.1622 0.3244 0.7500  2 V 2.59

Properties
- Raw formation energy: -1.556 eV/atom
- E: -208.77 eV for the cell shown
- Magnetic moment: 6.00 Bohr magnetons per cell

***

Record 7
Compound: Rb3V2Br9
Source: Alexandria
Functional: SCAN
Structure: single point on PBEsol structure

abc: 7.3197 7.3197 18.3303
angles: 90.00 90.00 120.00
Closest atoms and distances in Å follow each position.
Space group P6_3/mmc (No. 194)
Symmetry-distinct sites (fractional):
Rb 0.0000 0.0000 0.2500  12 Br 3.64-3.66
Rb 0.3333 0.6667 0.0669  9 Br 3.54-3.69
V 0.3333 0.6667 0.6644  6 Br 2.46-2.57
Br 0.0130 0.5065 0.7500  2 V 2.57
Br 0.1714 0.3427 0.5904  1 V 2.46

Properties
- Raw formation energy: -1.508 eV/atom
- E: -586.89 eV for the cell shown
- Magnetic moment: 8.00 Bohr magnetons per cell

***

Record 8
Compound: Rb2WBr6
Source: Alexandria
Functional: SCAN
Structure: single point on PBEsol structure

abc: 10.3863 10.3863 10.3863
angles: 90.00 90.00 90.00
Closest atoms and distances in Å follow each position.
Space group Fm-3m (No. 225)
Symmetry-distinct sites (fractional):
Rb 0.2500 0.2500 0.2500  12 Br 3.67
W 0.0000 0.0000 0.0000  6 Br 2.52
Br 0.0000 0.0000 0.2430  1 W 2.52

Properties
- Raw formation energy: -1.176 eV/atom
- E: -954.04 eV for the cell shown
- Magnetic moment: 8.00 Bohr magnetons per cell